# 1
Crystalline LaSiPb at its relaxed geometry. Source: the Alexandria database, functional PBEsol.

Properties
final energy = -5.238 eV/atom
raw formation energy = -4.8 kcal/mol of atoms
crystal system = cubic

a b c (Å): 4.9302 4.9302 4.9302
angles (deg): 60.00 60.00 60.00
Last column: nearest neighbours and their distance in Å.
Positions (direct):
La  0.0000  0.0000  0.0000  4 Si 3.02
Si  0.2500  0.2500  0.2500  4 Pb 3.02, 4 La 3.02
Pb  0.5000  0.5000  0.5000  4 Si 3.02

***

# 2
Crystalline NaCu2BF at its relaxed geometry. Source: the Alexandria database, functional PBEsol.

Properties
final energy = -2.047 eV/atom
raw formation energy = 40.5 kcal/mol of atoms
crystal system = tetragonal

a b c (Å): 4.5701 4.5701 4.4596
angles (deg): 90.00 90.00 90.00
Last column: nearest neighbours and their distance in Å.
Positions (direct):
Na  0.0000  0.0000  0.0000  2 B 2.23, 4 Cu 2.29
Cu  0.0000  0.5000  0.0000  2 Na 2.29
Cu  0.5000  0.0000  0.0000  2 Na 2.29
B  0.0000  0.0000  0.5000  2 Na 2.23
F  0.5000  0.5000  0.5000  8 Cu 3.19, 4 B 3.23

***

# 3
Crystalline Zr6NiCl15 at its relaxed geometry. Source: the Alexandria database, functional PBEsol.

Properties
final energy = -5.808 eV/atom
raw formation energy = -38.7 kcal/mol of atoms
crystal system = cubic

a b c (Å): 8.7951 8.7951 8.7951
angles (deg): 109.47 109.47 109.47
Last column: nearest neighbours and their distance in Å.
Positions (direct):
Zr  0.0000  0.2428  0.2428  1 Ni 2.47, 5 Cl 2.52-2.61
Zr  0.0000  0.7572  0.7572  1 Ni 2.47, 5 Cl 2.52-2.61
Zr  0.2428  0.0000  0.2428  1 Ni 2.47, 5 Cl 2.52-2.61
Zr  0.2428  0.2428  0.0000  1 Ni 2.47, 5 Cl 2.52-2.61
Zr  0.7572  0.0000  0.7572  1 Ni 2.47, 5 Cl 2.52-2.61
Zr  0.7572  0.7572  0.0000  1 Ni 2.47, 5 Cl 2.52-2.61
Ni  0.0000  0.0000  0.0000  6 Zr 2.47
Cl  0.0000  0.2484  0.7516  2 Zr 2.52
Cl  0.0000  0.5000  0.5000  2 Zr 2.61
Cl  0.0000  0.7516  0.2484  2 Zr 2.52
Cl  0.2484  0.0000  0.7516  2 Zr 2.52
Cl  0.2484  0.2484  0.4967  2 Zr 2.52
Cl  0.2484  0.4967  0.2484  2 Zr 2.52
Cl  0.2484  0.7516  0.0000  2 Zr 2.52
Cl  0.4967  0.2484  0.2484  2 Zr 2.52
Cl  0.5000  0.0000  0.5000  2 Zr 2.61
Cl  0.5000  0.5000  0.0000  2 Zr 2.61
Cl  0.5033  0.7516  0.7516  2 Zr 2.52
Cl  0.7516  0.0000  0.2484  2 Zr 2.52
Cl  0.7516  0.2484  0.0000  2 Zr 2.52
Cl  0.7516  0.5033  0.7516  2 Zr 2.52
Cl  0.7516  0.7516  0.5033  2 Zr 2.52

***

# 4
Crystalline CdPRh2 at its relaxed geometry. Source: the Alexandria database, functional PBEsol.

Properties
final energy = -6.029 eV/atom
formation energy = -0.213 eV per atom
ΔE to the lowest computed polymorph = 7.9 kJ/mol of atoms
crystal system = orthorhombic

a b c (Å): 4.3635 5.0284 5.0284
angles (deg): 33.97 90.00 90.00
Last column: nearest neighbours and their distance in Å.
Positions (direct):
Cd  0.0000  0.0000  0.0000  3 Rh 2.56-2.69
P  0.5000  0.6753  0.6753  4 Rh 2.25-2.32
Rh  0.0000  0.7342  0.7342  2 P 2.25
Rh  0.5000  0.3626  0.3626  2 P 2.32

***

# 5
Crystalline La3InI at its relaxed geometry. Source: the Alexandria database, functional PBEsol.

Properties
final energy = -4.054 eV/atom
raw formation energy = 2.4 kcal/mol of atoms
crystal system = cubic

a b c (Å): 5.9661 5.9661 5.9661
angles (deg): 90.00 90.00 90.00
Last column: nearest neighbours and their distance in Å.
Positions (direct):
La  0.0000  0.0000  0.5000  2 In 2.98
La  0.0000  0.5000  0.0000  2 In 2.98
La  0.5000  0.0000  0.0000  2 In 2.98
In  0.0000  0.0000  0.0000  6 La 2.98
I  0.5000  0.5000  0.5000  12 La 4.22

***

# 6
Crystalline HfNiNO2 at its relaxed geometry. Source: the Alexandria database, functional PBEsol.

Properties
final energy = -7.795 eV/atom
raw formation energy = -15.2 kcal/mol of atoms
crystal system = tetragonal

a b c (Å): 3.9935 3.9935 4.2060
angles (deg): 90.00 90.00 90.00
Last column: nearest neighbours and their distance in Å.
Positions (direct):
Hf  0.0000  0.0000  0.0000  4 O 2.00, 2 N 2.10
Ni  0.5000  0.5000  0.5000  4 N 2.82, 8 O 2.90
N  0.0000  0.0000  0.5000  2 Hf 2.10
O  0.0000  0.5000  0.0000  2 Hf 2.00
O  0.5000  0.0000  0.0000  2 Hf 2.00

***

Copy entry 6 word for word.
Crystalline HfNiNO2 at its relaxed geometry. Source: the Alexandria database, functional PBEsol.

Properties
final energy = -7.795 eV/atom
raw formation energy = -15.2 kcal/mol of atoms
crystal system = tetragonal

a b c (Å): 3.9935 3.9935 4.2060
angles (deg): 90.00 90.00 90.00
Last column: nearest neighbours and their distance in Å.
Positions (direct):
Hf  0.0000  0.0000  0.0000  4 O 2.00, 2 N 2.10
Ni  0.5000  0.5000  0.5000  4 N 2.82, 8 O 2.90
N  0.0000  0.0000  0.5000  2 Hf 2.10
O  0.0000  0.5000  0.0000  2 Hf 2.00
O  0.5000  0.0000  0.0000  2 Hf 2.00

***

Question: What is the final energy in the third record?
Answer: -5.808 eV/atom

***

Repeat the second record exactly.
Crystalline NaCu2BF at its relaxed geometry. Source: the Alexandria database, functional PBEsol.

Properties
final energy = -2.047 eV/atom
raw formation energy = 40.5 kcal/mol of atoms
crystal system = tetragonal

a b c (Å): 4.5701 4.5701 4.4596
angles (deg): 90.00 90.00 90.00
Last column: nearest neighbours and their distance in Å.
Positions (direct):
Na  0.0000  0.0000  0.0000  2 B 2.23, 4 Cu 2.29
Cu  0.0000  0.5000  0.0000  2 Na 2.29
Cu  0.5000  0.0000  0.0000  2 Na 2.29
B  0.0000  0.0000  0.5000  2 Na 2.23
F  0.5000  0.5000  0.5000  8 Cu 3.19, 4 B 3.23

***

Question: Which value of final energy does entry 4 give?
Answer: -6.029 eV/atom